(1)
Density functional theory data (PBE) for a geometry-optimized Nd2CdI structure.

Formation energy from raw total energies: -0.5439 eV per atom
E above lowest polymorph: 0.000 eV per atom

Lattice parameters (Å, degrees): 3.9265 3.9265 28.5331 90.00 90.00 120.00
Space group R3m (No. 160, hexagonal axes)
Asymmetric unit:
1 Nd 0.0000 0.0000 0.0000 [3 per cell]
2 Nd 0.0000 0.0000 0.1694 [3 per cell]
3 Cd 0.0000 0.0000 0.5845 [3 per cell]
4 I 0.0000 0.0000 0.7515 [3 per cell]

---

(2)
Density functional theory data (PBE) for a geometry-optimized InGe2H structure.

E above lowest polymorph: 0.000 eV per atom

Lattice parameters (Å, degrees): 5.0278 5.0278 12.4959 90.00 90.00 90.00
Space group I-42d (No. 122)
Asymmetric unit:
1 In 0.0000 0.0000 0.0000 [4 per cell]
2 Ge 0.0919 0.2500 0.6250 [8 per cell]
3 H 0.0000 0.0000 0.5000 [4 per cell]

---

(3)
Density functional theory data (PBE) for a geometry-optimized Sc2Se structure.

Formation energy from raw total energies: -0.9322 eV per atom

Lattice parameters (Å, degrees): 6.3463 6.3463 6.3406 90.00 90.00 90.00
Space group I4/mcm (No. 140)
Asymmetric unit:
1 Sc 0.1690 0.3310 0.0000 [8 per cell]
2 Se 0.0000 0.0000 0.2500 [4 per cell]

---

(4)
Density functional theory data (PBE) for a geometry-optimized Tl2Cu2Sb structure.

Formation energy from raw total energies: 0.3815 eV per atom
E above lowest polymorph: 0.186 eV per atom

Lattice parameters (Å, degrees): 4.2710 4.2710 12.3912 90.00 90.00 90.00
Space group I4/mmm (No. 139)
Asymmetric unit:
1 Tl 0.0000 0.5000 0.2500 [4 per cell]
2 Cu 0.0000 0.0000 0.0942 [4 per cell]
3 Sb 0.0000 0.0000 0.5000 [2 per cell]

---

(5)
Density functional theory data (PBE) for a geometry-optimized PmErAl structure.

ΔH_f (0 K): -232.6 meV/atom
E above lowest polymorph: 0.004 eV per atom

Lattice parameters (Å, degrees): 3.4679 3.4679 13.5769 90.00 90.00 90.00
Space group I4mm (No. 107)
Asymmetric unit:
1 Pm 0.0000 0.0000 0.0000 [2 per cell]
2 Er 0.0000 0.0000 0.2956 [2 per cell]
3 Al 0.0000 0.0000 0.6537 [2 per cell]

---

(6)
Density functional theory data (PBE) for a geometry-optimized CeTmPb2 structure.

ΔH_f (0 K): -367.3 meV/atom

Lattice parameters (Å, degrees): 4.0740 4.0740 6.9406 90.00 90.00 90.00
Space group P4/mmm (No. 123)
Asymmetric unit:
1 Ce 0.0000 0.0000 0.0000 [1 per cell]
2 Tm 0.0000 0.0000 0.5000 [1 per cell]
3 Pb 0.5000 0.5000 0.2647 [2 per cell]

---

Respective E values: -42.5; -54.6; -75.8; -30.3; -27.5; -19.3 eV/cell.
Respective ρ values: 6901; 5490; 4392; 9662; 6900; 10428 kg/m³.